# 1
VASP calculation (GGA-PBE) on a relaxed NdTm6In crystal.

Geometry as extended XYZ:
```
8
Lattice="-1.790 6.184 1.249 1.923 -1.823 -5.999 -6.328 -5.826 3.195" Properties=species:S:1:pos:R:3 pbc="T T T"
Nd -3.098 -0.733 -0.777
Tm -4.748 -3.514 1.450
Tm -2.314 2.279 0.259
Tm -1.448 2.049 -3.005
Tm -5.515 -0.218 1.378
Tm -3.881 -3.744 -1.814
Tm -0.680 -1.247 -2.932
In 0.000 0.000 0.000
```

## Properties
distance to the lowest polymorph of the same formula: 0.198 eV/atom
DOS(E_F): 11.32 states/eV/cell
mass density: 8.76 Mg/m³
space group: No. 12
calculated formation energy: 0.098 eV per atom

# 2
VASP calculation (GGA-PBE) on a relaxed Sm11Cd9Hg4 crystal.

Geometry as extended XYZ:
```
24
Lattice="-3.672 1.038 0.112 -2.141 -8.690 10.345 3.661 12.505 4.162" Properties=species:S:1:pos:R:3 pbc="T T T"
Sm 2.168 6.595 9.983
Sm -0.648 -2.779 4.524
Sm 0.150 -0.778 12.134
Sm 1.371 4.593 2.373
Sm -0.072 -1.134 8.141
Sm 1.593 4.950 6.366
Sm -1.175 -5.162 9.316
Sm 2.696 8.978 5.191
Sm 0.000 0.000 0.000
Sm 1.112 2.790 10.608
Sm 0.409 1.025 3.899
Cd -2.631 -3.067 7.232
Cd 0.479 7.920 7.387
Cd 0.152 7.100 4.266
Cd -2.304 -2.246 10.353
Cd -0.065 5.475 12.198
Cd -2.086 -0.621 2.421
Cd -0.961 2.201 13.153
Cd -1.190 2.652 1.466
Cd -1.076 2.427 7.309
Hg -0.300 5.004 8.866
Hg -1.852 -0.151 5.753
Hg -1.402 0.977 10.041
Hg -0.749 3.876 4.578
```

## Properties
DOS(E_F): 26.48 states/eV/cell
mass density: 8.76 Mg/m³
space group: No. 65
calculated formation energy: -0.349 eV per atom

# 3
VASP calculation (GGA-PBE) on a relaxed Sr2Tl3Hg3 crystal.

Geometry as extended XYZ:
```
8
Lattice="5.265 0.000 1.587 2.393 4.689 1.587 0.002 0.001 9.521" Properties=species:S:1:pos:R:3 pbc="T T T"
Sr 0.028 0.017 9.435
Sr 3.807 2.331 6.423
Tl 1.898 1.162 3.228
Tl 5.759 3.526 9.474
Tl 4.784 2.929 3.181
Hg 0.963 0.590 6.333
Hg 6.712 4.110 6.313
Hg 2.861 1.752 9.561
```

## Properties
DOS(E_F): 3.50 states/eV/cell
mass density: 9.82 Mg/m³
space group: No. 160
calculated formation energy: -0.343 eV per atom

# 4
VASP calculation (GGA-PBE) on a relaxed FeRe2Cl crystal.

Geometry as extended XYZ:
```
4
Lattice="5.536 0.000 0.000 0.000 3.535 0.000 0.000 0.000 3.535" Properties=species:S:1:pos:R:3 pbc="T T T"
Re 0.000 0.000 0.000
Re 0.000 1.767 1.767
Fe 2.768 0.000 1.767
Cl 2.768 1.767 0.000
```

## Properties
distance to the lowest polymorph of the same formula: 1.022 eV/atom
formation energy from raw total energies: 1.3254 eV/atom
DOS(E_F): 6.29 states/eV/cell
mass density: 11.13 Mg/m³
space group: No. 123

# 5
VASP calculation (GGA-PBE) on a relaxed KMnW2 crystal.

Geometry as extended XYZ:
```
4
Lattice="10.577 0.016 0.009 10.198 2.804 0.009 10.198 1.384 2.439" Properties=species:S:1:pos:R:3 pbc="T T T"
K 7.743 1.051 0.614
Mn 23.230 3.154 1.843
W 0.547 0.074 0.043
W 14.939 2.028 1.185
```

## Properties
distance to the lowest polymorph of the same formula: 0.158 eV/atom
DOS(E_F): 4.39 states/eV/cell
mass density: 10.70 Mg/m³
space group: No. 166
calculated formation energy: 0.988 eV per atom

# 6
VASP calculation (GGA-PBE) on a relaxed Sr8LiTl2 crystal.

Geometry as extended XYZ:
```
11
Lattice="5.801 0.000 0.000 0.000 8.327 0.127 -2.900 -3.425 9.782" Properties=species:S:1:pos:R:3 pbc="T T T"
Sr 0.000 1.682 7.904
Sr 2.900 6.835 3.485
Sr 2.900 3.703 5.985
Sr 2.900 -1.364 9.195
Sr 0.000 1.199 3.924
Sr 0.000 -1.933 6.424
Sr 2.900 3.220 2.005
Sr 0.000 6.267 0.714
Li 2.900 0.000 0.000
Tl 2.900 0.309 6.220
Tl 0.000 4.593 3.688
```

## Properties
DOS(E_F): 11.49 states/eV/cell
mass density: 3.90 Mg/m³
space group: No. 12
calculated formation energy: -0.160 eV per atom

# 7
VASP calculation (GGA-PBE) on a relaxed CeSi2TcW crystal.

Geometry as extended XYZ:
```
5
Lattice="-2.641 -0.620 -2.990 0.718 -3.968 0.188 -3.055 1.741 5.062" Properties=species:S:1:pos:R:3 pbc="T T T"
Ce 0.000 0.000 0.000
Si -1.867 -2.418 -0.575
Si -3.111 -0.428 2.836
Tc -3.328 -0.586 0.336
W -1.649 -2.260 1.925
```

## Properties
formation energy from raw total energies: -0.4529 eV/atom
DOS(E_F): 6.83 states/eV/cell
mass density: 8.92 Mg/m³
space group: No. 119

# 8
VASP calculation (GGA-PBE) on a relaxed Tb3Ce2HoTe6 crystal.

Geometry as extended XYZ:
```
12
Lattice="-1.637 -3.995 0.703 7.897 -3.574 -1.923 1.216 3.504 9.143" Properties=species:S:1:pos:R:3 pbc="T T T"
Tb 3.130 -3.785 -0.610
Tb 0.754 -1.593 6.317
Tb 6.723 -2.472 1.605
Ce 4.686 -3.368 5.383
Ce 2.790 -0.696 2.539
Ho -0.819 -1.998 0.351
Te 7.558 -2.289 4.593
Te 3.967 -3.611 2.330
Te -0.082 -1.776 3.329
Te 1.520 -1.379 9.320
Te 5.956 -2.686 -1.398
Te 3.509 -0.454 5.593
```

## Properties
formation energy from raw total energies: -1.3255 eV/atom
DOS(E_F): 17.35 states/eV/cell
mass density: 7.72 Mg/m³
space group: No. 12

# 9
VASP calculation (GGA-PBE) on a relaxed BaLi2Cd4 crystal.

Geometry as extended XYZ:
```
7
Lattice="4.850 0.000 -1.106 -0.186 3.493 -0.816 -0.108 0.651 10.716" Properties=species:S:1:pos:R:3 pbc="T T T"
Ba 2.425 0.000 -0.553
Li 3.672 3.190 4.914
Li 0.885 0.953 3.880
Cd 3.061 2.532 2.235
Cd 1.495 1.612 6.559
Cd 0.289 2.158 1.266
Cd 4.268 1.986 7.528
```

## Properties
DOS(E_F): 3.48 states/eV/cell
mass density: 5.43 Mg/m³
space group: No. 71
calculated formation energy: -0.169 eV per atom

# 10
VASP calculation (GGA-PBE) on a relaxed Ba6Ag2IrPt crystal.

Geometry as extended XYZ:
```
10
Lattice="-0.347 7.093 4.239 -5.084 0.698 6.485 3.495 0.217 7.987" Properties=species:S:1:pos:R:3 pbc="T T T"
Ba -0.275 4.303 5.809
Ba -4.054 2.106 9.172
Ba -2.370 7.300 9.936
Ba -0.956 3.887 12.532
Ba 2.007 5.095 9.623
Ba 0.336 1.112 9.476
Ag -1.321 4.164 9.064
Ag 3.158 0.370 7.708
Ir -1.672 2.536 3.688
Pt -2.643 6.539 13.043
```

## Properties
DOS(E_F): 7.87 states/eV/cell
mass density: 5.48 Mg/m³
space group: No. 146
calculated formation energy: -0.276 eV per atom

# 11
VASP calculation (GGA-PBE) on a relaxed Y5Tm2Sc4 crystal.

Geometry as extended XYZ:
```
11
Lattice="-1.164 -0.375 3.272 3.525 -7.972 0.341 8.779 4.977 3.694" Properties=species:S:1:pos:R:3 pbc="T T T"
Y 1.762 -3.986 0.171
Y 1.675 -0.500 0.539
Y 10.629 -2.494 3.497
Y 4.878 -2.694 1.427
Y 7.426 -0.300 2.608
Tm 6.459 -5.555 1.662
Tm 5.845 2.561 2.373
Sc 7.748 2.519 4.910
Sc 3.392 -5.888 2.397
Sc 4.004 0.000 3.290
Sc 7.136 -3.370 4.018
```

## Properties
distance to the lowest polymorph of the same formula: 0.000 eV/atom
DOS(E_F): 16.18 states/eV/cell
mass density: 4.89 Mg/m³
space group: No. 10
calculated formation energy: 0.091 eV per atom

# 12
VASP calculation (GGA-PBE) on a relaxed LaYW2 crystal.

Geometry as extended XYZ:
```
4
Lattice="-0.283 -0.869 -2.728 -0.521 -2.680 0.908 -10.277 2.128 0.389" Properties=species:S:1:pos:R:3 pbc="T T T"
La -8.109 -0.179 -0.618
W -0.119 0.025 0.005
W -5.019 1.039 0.190
Y -2.971 -1.242 -0.813
```

## Properties
distance to the lowest polymorph of the same formula: 0.516 eV/atom
DOS(E_F): 3.04 states/eV/cell
mass density: 11.38 Mg/m³
space group: No. 123
calculated formation energy: 0.806 eV per atom